(1)
First-principles (GGA-PBE) data for BaYTeN2 after structural relaxation, as listed in Alexandria via LeMat-Bulk.

Output
The volume is 26.849 A^3/atom. Its formation energy (no corrections) is 0.879 eV/atom. The energy above the lowest structure with this stoichiometry is 1010 meV per atom. Its symmetry is P4/mmm. The mass density is 4.7 Mg/m³.

```
BaYTeN2
1.0
-0.862 -2.157 -3.899
0.050 -3.976 2.189
-6.398 0.535 1.119
N Y Te Ba
2 1 1 1
Direct
0.500 0.000 0.000
0.000 0.500 0.000
0.500 0.500 0.500
0.000 0.000 0.500
0.000 0.000 0.000
```



(2)
First-principles (GGA-PBE) data for PaTl2Sb after structural relaxation, as listed in Alexandria via LeMat-Bulk.

Output
The volume is 28.821 A^3/atom. Its formation energy (no corrections) is 0.330 eV/atom. Its symmetry is R-3m. The mass density is 11.0 Mg/m³.

```
PaTl2Sb
1.0
-3.033 -0.857 -1.018
-2.394 -0.564 2.218
-4.971 11.236 -0.036
Tl Pa Sb
2 1 1
Direct
0.911 0.911 0.266
0.089 0.089 0.734
0.000 0.000 0.000
0.500 0.500 0.500
```



(3)
First-principles (GGA-PBE) data for BaLiLa2Te4 after structural relaxation, as listed in Alexandria via LeMat-Bulk.

Output
The volume is 35.452 A^3/atom. Its formation energy (no corrections) is -1.534 eV/atom. Its symmetry is Cmcm. The mass density is 5.5 Mg/m³.

```
BaLiLa2Te4
1.0
-3.471 2.295 -2.019
4.491 -3.069 -5.911
-8.854 -13.256 0.154
Ba Te La Li
2 8 4 2
Direct
0.882 0.764 0.250
0.118 0.236 0.750
0.445 0.890 0.750
0.000 0.000 0.000
0.731 0.462 0.619
0.000 0.000 0.500
0.555 0.110 0.250
0.731 0.462 0.881
0.269 0.538 0.119
0.269 0.538 0.381
0.629 0.258 0.058
0.371 0.742 0.942
0.629 0.258 0.442
0.371 0.742 0.558
0.849 0.697 0.750
0.151 0.303 0.250
```



(4)
First-principles (GGA-PBE) data for PmSm2ScP4 after structural relaxation, as listed in Alexandria via LeMat-Bulk.

Output
The volume is 23.203 A^3/atom. Its formation energy from the elements is -145.5 kJ/mol of atoms. Its symmetry is P2/m. The mass density is 5.5 Mg/m³.

```
PmSm2ScP4
1.0
-1.509 -1.379 -3.485
6.441 -1.617 -2.149
-2.772 -5.457 3.359
P Pm Sm Sc
4 1 2 1
Direct
0.500 0.236 0.237
0.500 0.764 0.763
0.000 0.758 0.244
0.000 0.242 0.756
0.500 0.500 0.000
0.500 0.000 0.500
0.000 0.500 0.500
0.000 0.000 0.000
```



(5)
First-principles (GGA-PBE) data for SrPa2CoN5 after structural relaxation, as listed in Alexandria via LeMat-Bulk.

Output
The volume is 13.597 A^3/atom. Its formation energy (no corrections) is -1.092 eV/atom. Its symmetry is I4/mcm. The mass density is 9.2 Mg/m³.

```
SrPa2CoN5
1.0
6.587 0.000 0.000
0.000 6.587 0.000
-3.294 -3.294 5.641
Pa N Sr Co
4 10 2 2
Direct
0.682 0.182 0.000
0.818 0.682 0.000
0.318 0.818 0.000
0.182 0.318 0.000
0.500 0.500 0.000
0.004 0.504 0.740
0.265 0.765 0.260
0.504 0.735 0.740
0.765 0.996 0.260
0.496 0.265 0.260
0.235 0.004 0.740
0.735 0.235 0.740
0.000 0.000 0.000
0.996 0.496 0.260
0.250 0.250 0.500
0.750 0.750 0.500
0.750 0.250 0.500
0.250 0.750 0.500
```



(6)
First-principles (GGA-PBE) data for Li2PrI6 after structural relaxation, as listed in Alexandria via LeMat-Bulk.

Output
The volume is 42.694 A^3/atom. Its formation energy (no corrections) is -1.071 eV/atom. The energy above the lowest structure with this stoichiometry is 0 meV per atom. Its symmetry is C2/c. The mass density is 4.0 Mg/m³.

```
Li2PrI6
1.0
-3.254 3.599 6.280
5.113 -3.918 7.868
4.757 8.982 0.291
I Pr Li
12 2 4
Direct
0.838 0.202 0.063
0.309 0.380 0.934
0.547 0.330 0.488
0.191 0.066 0.620
0.691 0.620 0.066
0.047 0.488 0.330
0.453 0.670 0.512
0.162 0.798 0.937
0.662 0.937 0.798
0.953 0.512 0.670
0.338 0.063 0.202
0.809 0.934 0.380
0.250 0.093 0.907
0.750 0.907 0.093
0.724 0.458 0.276
0.276 0.542 0.724
0.776 0.724 0.542
0.224 0.276 0.458
```